(1)
! K3ErTh3Se8, optimized geometry, DFT GGA-PBE; values from VASP
&SYSTEM
  ibrav = 0, nat = 15, ntyp = 4
/
ATOMIC_SPECIES
K 39.10 K.upf
Er 167.26 Er.upf
Th 232.04 Th.upf
Se 78.96 Se.upf
CELL_PARAMETERS angstrom
4.2177 2.4351 7.9162
-4.2177 2.4351 7.9162
0.0000 -4.8702 7.9162
ATOMIC_POSITIONS crystal
K 0.0000 0.5000 0.5000
K 0.5000 0.0000 0.5000
K 0.5000 0.5000 0.0000
Er 0.5000 0.5000 0.5000
Th 0.0000 0.0000 0.5000
Th 0.0000 0.5000 0.0000
Th 0.5000 0.0000 0.0000
Se 0.2396 0.2396 0.2396
Se 0.2424 0.7315 0.7315
Se 0.2685 0.2685 0.7576
Se 0.2685 0.7576 0.2685
Se 0.7315 0.2424 0.7315
Se 0.7315 0.7315 0.2424
Se 0.7576 0.2685 0.2685
Se 0.7604 0.7604 0.7604
! density of states at the Fermi level: 9.39 states/eV/f.u.
! spin magnetization: 0.00 μB/atom



(2)
! K3Er2TiSe6, optimized geometry, DFT GGA-PBE; values from VASP
&SYSTEM
  ibrav = 0, nat = 12, ntyp = 4
/
ATOMIC_SPECIES
K 39.10 K.upf
Er 167.26 Er.upf
Ti 47.87 Ti.upf
Se 78.96 Se.upf
CELL_PARAMETERS angstrom
3.5360 -6.1269 0.0000
3.5360 6.1269 0.0000
-2.3655 0.0000 7.6499
ATOMIC_POSITIONS crystal
K 0.0000 0.0000 0.0000
K 0.3295 0.6705 0.0000
K 0.6705 0.3295 0.0000
Er 0.1663 0.8337 0.5000
Er 0.8337 0.1663 0.5000
Ti 0.5000 0.5000 0.5000
Se 0.1172 0.4338 0.3015
Se 0.2505 0.2505 0.6994
Se 0.4338 0.1172 0.3015
Se 0.5662 0.8828 0.6985
Se 0.7495 0.7495 0.3006
Se 0.8828 0.5662 0.6985
! density of states at the Fermi level: 5.53 states/eV/f.u.
! spin magnetization: 0.08 μB/atom



(3)
! K4Er3TiSe8, optimized geometry, DFT GGA-PBE; values from VASP
&SYSTEM
  ibrav = 0, nat = 16, ntyp = 4
/
ATOMIC_SPECIES
K 39.10 K.upf
Er 167.26 Er.upf
Ti 47.87 Ti.upf
Se 78.96 Se.upf
CELL_PARAMETERS angstrom
4.1075 2.3715 7.6594
-4.1075 2.3715 7.6594
0.0000 -4.7430 7.6594
ATOMIC_POSITIONS crystal
K 0.0000 0.0000 0.0000
K 0.0000 0.5000 0.5000
K 0.5000 0.0000 0.5000
K 0.5000 0.5000 0.0000
Er 0.0000 0.0000 0.5000
Er 0.0000 0.5000 0.0000
Er 0.5000 0.0000 0.0000
Ti 0.5000 0.5000 0.5000
Se 0.2353 0.2353 0.2353
Se 0.2481 0.7249 0.7249
Se 0.2751 0.2751 0.7519
Se 0.2751 0.7519 0.2751
Se 0.7249 0.2481 0.7249
Se 0.7249 0.7249 0.2481
Se 0.7519 0.2751 0.2751
Se 0.7647 0.7647 0.7647
! density of states at the Fermi level: 5.46 states/eV/f.u.
! spin magnetization: 0.06 μB/atom



(4)
! K3Er3TiSe8, optimized geometry, DFT GGA-PBE; values from VASP
&SYSTEM
  ibrav = 0, nat = 15, ntyp = 4
/
ATOMIC_SPECIES
K 39.10 K.upf
Er 167.26 Er.upf
Ti 47.87 Ti.upf
Se 78.96 Se.upf
CELL_PARAMETERS angstrom
4.0519 2.3394 7.8464
-4.0519 2.3394 7.8464
0.0000 -4.6787 7.8464
ATOMIC_POSITIONS crystal
K 0.0000 0.5000 0.5000
K 0.5000 0.0000 0.5000
K 0.5000 0.5000 0.0000
Er 0.0000 0.0000 0.5000
Er 0.0000 0.5000 0.0000
Er 0.5000 0.0000 0.0000
Ti 0.5000 0.5000 0.5000
Se 0.2349 0.2349 0.2349
Se 0.2538 0.7189 0.7189
Se 0.2811 0.2811 0.7462
Se 0.2811 0.7462 0.2811
Se 0.7189 0.2538 0.7189
Se 0.7189 0.7189 0.2538
Se 0.7462 0.2811 0.2811
Se 0.7651 0.7651 0.7651
! spin magnetization: 0.00 μB/atom



(5)
! K3ErTm2Se6, optimized geometry, DFT GGA-PBE; values from VASP
&SYSTEM
  ibrav = 0, nat = 12, ntyp = 4
/
ATOMIC_SPECIES
K 39.10 K.upf
Er 167.26 Er.upf
Tm 168.93 Tm.upf
Se 78.96 Se.upf
CELL_PARAMETERS angstrom
3.6102 -6.2531 0.0000
3.6102 6.2531 0.0000
-2.4071 0.0000 7.6743
ATOMIC_POSITIONS crystal
K 0.0000 0.0000 0.0000
K 0.3335 0.6665 0.0000
K 0.6665 0.3335 0.0000
Er 0.5000 0.5000 0.5000
Tm 0.1667 0.8333 0.5000
Tm 0.8333 0.1667 0.5000
Se 0.0979 0.4323 0.2970
Se 0.2333 0.2333 0.7029
Se 0.4323 0.0979 0.2970
Se 0.5677 0.9021 0.7030
Se 0.7667 0.7667 0.2971
Se 0.9021 0.5677 0.7030
! density of states at the Fermi level: 0.00 states/eV/f.u.
! spin magnetization: 0.00 μB/atom



(6)
! K3Er2TmSe6, optimized geometry, DFT GGA-PBE; values from VASP
&SYSTEM
  ibrav = 0, nat = 12, ntyp = 4
/
ATOMIC_SPECIES
K 39.10 K.upf
Er 167.26 Er.upf
Tm 168.93 Tm.upf
Se 78.96 Se.upf
CELL_PARAMETERS angstrom
3.6151 -6.2614 0.0000
3.6151 6.2614 0.0000
-2.4100 0.0000 7.6758
ATOMIC_POSITIONS crystal
K 0.0000 0.0000 0.0000
K 0.3332 0.6668 0.0000
K 0.6668 0.3332 0.0000
Er 0.1667 0.8333 0.5000
Er 0.8333 0.1667 0.5000
Tm 0.5000 0.5000 0.5000
Se 0.1000 0.4323 0.2968
Se 0.2354 0.2354 0.7032
Se 0.4323 0.1000 0.2968
Se 0.5677 0.9000 0.7032
Se 0.7646 0.7646 0.2968
Se 0.9000 0.5677 0.7032
! density of states at the Fermi level: 0.00 states/eV/f.u.
! spin magnetization: 0.00 μB/atom



The following formation energy from raw total energies values (in eV per atom) correspond, in order, to the records above: -1.63; -1.54; -1.59; -1.60; -1.75; -1.76.